Record 1
# La3TlIrCl, optimized geometry, DFT PBE
data_La3TlIrCl
_chemical_formula_sum 'La6 Tl2 Ir2 Cl2'
_symmetry_space_group_name_H-M 'P 1 21/m 1'
_symmetry_Int_Tables_number 11
_symmetry_space_group_name_Hall '-P 2yb'
_cell_length_a 7.792
_cell_length_b 4.784
_cell_length_c 10.109
_cell_angle_alpha 90.00
_cell_angle_beta 101.91
_cell_angle_gamma 90.00
loop_
_atom_site_label
_atom_site_type_symbol
_atom_site_fract_x
_atom_site_fract_y
_atom_site_fract_z
La1 La 0.073 0.250 0.376
La2 La 0.206 0.250 0.937
La3 La 0.404 0.750 0.635
Tl1 Tl 0.237 0.750 0.218
Ir1 Ir 0.167 0.250 0.654
Cl1 Cl 0.408 0.750 0.913
# Uncorrected energy (eV for the cell shown): -66.13
# Magnetization (μB/f.u.): 0.00
# Formation energy from raw total energies (meV/atom): -868

=====

Record 2
# NdScIn2, optimized geometry, DFT PBE
data_NdScIn2
_chemical_formula_sum 'Nd3 Sc3 In6'
_symmetry_space_group_name_H-M 'R -3 m'
_symmetry_Int_Tables_number 166
_symmetry_space_group_name_Hall '-R 3 2"'
_cell_length_a 3.5491
_cell_length_b 3.5491
_cell_length_c 29.9641
_cell_angle_alpha 90.00
_cell_angle_beta 90.00
_cell_angle_gamma 120.00
loop_
_atom_site_label
_atom_site_type_symbol
_atom_site_fract_x
_atom_site_fract_y
_atom_site_fract_z
Nd1 Nd 0.0000 0.0000 0.0000
Sc1 Sc 0.0000 0.0000 0.5000
In1 In 0.0000 0.0000 0.2441
# Uncorrected energy (eV for the cell shown): -52.93
# Magnetization (μB/f.u.): 0.00
# Formation enthalpy at 0 K (eV/atom): -0.267

=====

Record 3
# ZrZnPO2, optimized geometry, DFT PBE
data_ZrZnPO2
_chemical_formula_sum 'Zr1 Zn1 P1 O2'
_symmetry_space_group_name_H-M 'P 4/m m m'
_symmetry_Int_Tables_number 123
_symmetry_space_group_name_Hall '-P 4 2'
_cell_length_a 4.019
_cell_length_b 4.019
_cell_length_c 5.680
_cell_angle_alpha 90.00
_cell_angle_beta 90.00
_cell_angle_gamma 90.00
loop_
_atom_site_label
_atom_site_type_symbol
_atom_site_fract_x
_atom_site_fract_y
_atom_site_fract_z
Zr1 Zr 0.000 0.000 0.000
Zn1 Zn 0.500 0.500 0.500
P1 P 0.000 0.000 0.500
O1 O 0.000 0.500 0.000
# Uncorrected energy (eV for the cell shown): -31.27
# Magnetization (μB/f.u.): 0.26
# Formation energy from raw total energies (meV/atom): -1224
# E above lowest polymorph (meV/atom): 0

=====

Record 4
# Ho4Er2Tm, optimized geometry, DFT PBE
data_Ho4Er2Tm
_chemical_formula_sum 'Ho8 Er4 Tm2'
_symmetry_space_group_name_H-M 'C 1 m 1'
_symmetry_Int_Tables_number 8
_symmetry_space_group_name_Hall 'C -2y'
_cell_length_a 6.126
_cell_length_b 3.537
_cell_length_c 19.732
_cell_angle_alpha 90.00
_cell_angle_beta 90.01
_cell_angle_gamma 90.00
loop_
_atom_site_label
_atom_site_type_symbol
_atom_site_fract_x
_atom_site_fract_y
_atom_site_fract_z
Ho1 Ho 0.000 0.000 0.000
Ho2 Ho 0.000 0.000 0.284
Ho3 Ho 0.167 0.500 0.855
Ho4 Ho 0.168 0.500 0.570
Er1 Er 0.334 0.000 0.427
Er2 Er 0.335 0.000 0.712
Tm1 Tm 0.333 0.000 0.142
# Uncorrected energy (eV for the cell shown): -63.75
# Magnetization (μB/f.u.): 0.00
# E above lowest polymorph (meV/atom): 0
# Formation enthalpy at 0 K (eV/atom): 0.005

=====

Record 5
# Dy2Y3ErTm6, optimized geometry, DFT PBE
data_Dy2Y3ErTm6
_chemical_formula_sum 'Dy4 Y6 Er2 Tm12'
_symmetry_space_group_name_H-M 'C 1 2/m 1'
_symmetry_Int_Tables_number 12
_symmetry_space_group_name_Hall '-C 2y'
_cell_length_a 6.099
_cell_length_b 10.549
_cell_length_c 11.664
_cell_angle_alpha 90.00
_cell_angle_beta 100.01
_cell_angle_gamma 90.00
loop_
_atom_site_label
_atom_site_type_symbol
_atom_site_fract_x
_atom_site_fract_y
_atom_site_fract_z
Dy1 Dy 0.000 0.167 0.000
Y1 Y 0.000 0.000 0.500
Y2 Y 0.000 0.333 0.500
Er1 Er 0.000 0.500 0.000
Tm1 Tm 0.249 0.000 0.249
Tm2 Tm 0.249 0.333 0.249
# Uncorrected energy (eV for the cell shown): -119.34
# Magnetization (μB/f.u.): 0.00
# Formation enthalpy at 0 K (eV/atom): 0.027

=====

Record 6
# LaDy2Ho2Tm2, optimized geometry, DFT PBE
data_LaDy2Ho2Tm2
_chemical_formula_sum 'La2 Dy4 Ho4 Tm4'
_symmetry_space_group_name_H-M 'C 1 2/m 1'
_symmetry_Int_Tables_number 12
_symmetry_space_group_name_Hall '-C 2y'
_cell_length_a 11.590
_cell_length_b 3.508
_cell_length_c 11.779
_cell_angle_alpha 90.00
_cell_angle_beta 109.27
_cell_angle_gamma 90.00
loop_
_atom_site_label
_atom_site_type_symbol
_atom_site_fract_x
_atom_site_fract_y
_atom_site_fract_z
La1 La 0.000 0.000 0.000
Dy1 Dy 0.169 0.500 0.581
Ho1 Ho 0.054 0.500 0.274
Tm1 Tm 0.221 0.000 0.856
# Uncorrected energy (eV for the cell shown): -63.08
# Magnetization (μB/f.u.): 0.00
# Formation enthalpy at 0 K (eV/atom): 0.099

=====

Record 7
# Li2NdCd3, optimized geometry, DFT PBE
data_Li2NdCd3
_chemical_formula_sum 'Li4 Nd2 Cd6'
_symmetry_space_group_name_H-M 'P 63/m m c'
_symmetry_Int_Tables_number 194
_symmetry_space_group_name_Hall '-P 6c 2c'
_cell_length_a 4.7849
_cell_length_b 4.7849
_cell_length_c 13.6870
_cell_angle_alpha 90.00
_cell_angle_beta 90.00
_cell_angle_gamma 120.00
loop_
_atom_site_label
_atom_site_type_symbol
_atom_site_fract_x
_atom_site_fract_y
_atom_site_fract_z
Li1 Li 0.3333 0.6667 0.0750
Nd1 Nd 0.0000 0.0000 0.2500
Cd1 Cd 0.0000 0.0000 0.0000
Cd2 Cd 0.3333 0.6667 0.6272
# Uncorrected energy (eV for the cell shown): -25.68
# Magnetization (μB/f.u.): 0.00
# Formation enthalpy at 0 K (eV/atom): -0.250

=====

Record 8
# Pr3Sm3Hg4, optimized geometry, DFT PBE
data_Pr3Sm3Hg4
_chemical_formula_sum 'Pr6 Sm6 Hg8'
_symmetry_space_group_name_H-M 'A m m 2'
_symmetry_Int_Tables_number 38
_symmetry_space_group_name_Hall 'A 2 -2'
_cell_length_a 3.893
_cell_length_b 12.480
_cell_length_c 12.443
_cell_angle_alpha 90.00
_cell_angle_beta 90.00
_cell_angle_gamma 90.00
loop_
_atom_site_label
_atom_site_type_symbol
_atom_site_fract_x
_atom_site_fract_y
_atom_site_fract_z
Pr1 Pr 0.000 0.000 0.000
Pr2 Pr 0.000 0.166 0.663
Sm1 Sm 0.000 0.000 0.329
Sm2 Sm 0.500 0.250 0.414
Hg1 Hg 0.500 0.000 0.527
Hg2 Hg 0.500 0.000 0.796
Hg3 Hg 0.500 0.131 0.168
# Uncorrected energy (eV for the cell shown): -66.49
# Magnetization (μB/f.u.): 0.00
# Formation enthalpy at 0 K (eV/atom): -0.354

=====

Record 9
# Ta2H, optimized geometry, DFT PBE
data_Ta2H
_chemical_formula_sum 'Ta2 H1'
_symmetry_space_group_name_H-M 'P -4 m 2'
_symmetry_Int_Tables_number 115
_symmetry_space_group_name_Hall 'P -4 -2'
_cell_length_a 3.383
_cell_length_b 3.383
_cell_length_c 3.410
_cell_angle_alpha 90.00
_cell_angle_beta 90.00
_cell_angle_gamma 90.00
loop_
_atom_site_label
_atom_site_type_symbol
_atom_site_fract_x
_atom_site_fract_y
_atom_site_fract_z
Ta1 Ta 0.000 0.500 0.241
H1 H 0.500 0.500 0.500
# Uncorrected energy (eV for the cell shown): -27.44
# Magnetization (μB/f.u.): 0.00
# E above lowest polymorph (meV/atom): 37

=====

Record 10
# PmBe2AsO6, optimized geometry, DFT PBE
data_PmBe2AsO6
_chemical_formula_sum 'Pm4 Be8 As4 O24'
_symmetry_space_group_name_H-M 'C 1 2/c 1'
_symmetry_Int_Tables_number 15
_symmetry_space_group_name_Hall '-C 2yc'
_cell_length_a 9.259
_cell_length_b 10.432
_cell_length_c 5.294
_cell_angle_alpha 90.00
_cell_angle_beta 110.90
_cell_angle_gamma 90.00
loop_
_atom_site_label
_atom_site_type_symbol
_atom_site_fract_x
_atom_site_fract_y
_atom_site_fract_z
Pm1 Pm 0.000 0.131 0.250
Be1 Be 0.229 0.076 0.841
As1 As 0.000 0.313 0.750
O1 O 0.089 0.382 0.059
O2 O 0.134 0.214 0.687
O3 O 0.168 0.022 0.074
# Uncorrected energy (eV for the cell shown): -280.83
# Magnetization (μB/f.u.): 0.00
# Formation energy from raw total energies (meV/atom): -2361

=====

Record 11
# LaNdPd10, optimized geometry, DFT PBE
data_LaNdPd10
_chemical_formula_sum 'La1 Nd1 Pd10'
_symmetry_space_group_name_H-M 'P m m m'
_symmetry_Int_Tables_number 47
_symmetry_space_group_name_Hall '-P 2 2'
_cell_length_a 4.501
_cell_length_b 5.380
_cell_length_c 9.301
_cell_angle_alpha 90.00
_cell_angle_beta 90.00
_cell_angle_gamma 90.00
loop_
_atom_site_label
_atom_site_type_symbol
_atom_site_fract_x
_atom_site_fract_y
_atom_site_fract_z
La1 La 0.000 0.000 0.000
Nd1 Nd 0.000 0.500 0.500
Pd1 Pd 0.000 0.000 0.334
Pd2 Pd 0.000 0.500 0.167
Pd3 Pd 0.500 0.000 0.500
Pd4 Pd 0.500 0.251 0.251
Pd5 Pd 0.500 0.500 0.000
# Uncorrected energy (eV for the cell shown): -68.17
# Magnetization (μB/f.u.): 0.00
# Formation enthalpy at 0 K (eV/atom): -0.545

=====

Record 12
# LiNiOs, optimized geometry, DFT PBE
data_LiNiOs
_chemical_formula_sum 'Li4 Ni4 Os4'
_symmetry_space_group_name_H-M 'F -4 3 m'
_symmetry_Int_Tables_number 216
_symmetry_space_group_name_Hall 'F -4 2 3'
_cell_length_a 5.533
_cell_length_b 5.533
_cell_length_c 5.533
_cell_angle_alpha 90.00
_cell_angle_beta 90.00
_cell_angle_gamma 90.00
loop_
_atom_site_label
_atom_site_type_symbol
_atom_site_fract_x
_atom_site_fract_y
_atom_site_fract_z
Li1 Li 0.000 0.000 0.000
Ni1 Ni 0.250 0.250 0.750
Os1 Os 0.000 0.000 0.500
# Uncorrected energy (eV for the cell shown): -67.33
# Magnetization (μB/f.u.): 1.26
# E above lowest polymorph (meV/atom): 515
# Formation enthalpy at 0 K (eV/atom): 0.698